Entry 1:
The following is a PBE calculation of crystalline NpSc2AuO8 at its relaxed geometry, from the Alexandria database.

Cell lengths 4.9078, 4.9074, 6.7136 Å; angles 85.02, 94.95, 94.20 degrees
Closest atoms and distances in Å follow each position.
Sites, in units of the cell vectors:
Np  0.0000  0.0000  0.0000  4 O 1.89-2.00
Sc  0.4731  0.5269  0.7346  6 O 2.07-2.22
Sc  0.5269  0.4731  0.2654  6 O 2.07-2.22
Au  0.0000  0.0000  0.5000  4 O 2.02-2.04
O  0.2211  0.7777  0.1805  1 Np 1.89
O  0.6997  0.7006  0.9999  1 Np 2.00, 2 Sc 2.22
O  0.8171  0.1833  0.2483  1 Au 2.02, 1 Sc 2.10, 1 Np 2.24
O  0.7789  0.2223  0.8195  1 Np 1.89
O  0.3003  0.2994  0.0001  1 Np 2.00, 2 Sc 2.22
O  0.1829  0.8167  0.7517  1 Au 2.02, 1 Sc 2.10, 1 Np 2.24
O  0.6947  0.6950  0.4999  1 Au 2.04, 2 Sc 2.07
O  0.3053  0.3050  0.5001  1 Au 2.04, 2 Sc 2.07

Properties
**Raw total energy**: -8.10 eV per atom
**Symmetry**: No. 12
**Total magnetization**: 0.0 μB per formula unit

---

Entry 2:
The following is a PBE calculation of crystalline CrCo2Mo at its relaxed geometry, from the Alexandria database.

Cell lengths 8.6318, 8.6318, 8.6318 Å; angles 17.30, 17.30, 17.30 degrees
Closest atoms and distances in Å follow each position.
Sites, in units of the cell vectors:
Co  0.9957  0.9957  0.9957  9 Co 2.52-2.60, 3 Mo 2.63
Co  0.2495  0.2495  0.2495  3 Cr 2.43, 9 Co 2.52-2.60
Cr  0.5076  0.5076  0.5076  3 Co 2.43, 6 Cr 2.60
Mo  0.7472  0.7472  0.7472  6 Mo 2.60, 3 Co 2.63, 3 Cr 2.82

Properties
**Raw total energy**: -8.39 eV per atom
**Excess energy over the best structure of this formula in the dataset**: 0.2376 eV per atom
**Formation energy from the elements**: 0.27 eV per atom
**Symmetry**: No. 160
**Fermi-level density of states**: 0.998 states/eV per atom
**Total magnetization**: 1.1 μB per formula unit

---

Entry 3:
The following is a PBE calculation of crystalline Pr2CdPd2Pt5 at its relaxed geometry, from the Alexandria database.

Cell lengths 4.2448, 9.5370, 9.5370 Å; angles 90.00, 90.00, 90.00 degrees
Closest atoms and distances in Å follow each position.
Sites, in units of the cell vectors:
Pr  0.0000  0.6743  0.1743  3 Pd 2.72-2.88
Pr  0.0000  0.3257  0.8257  3 Pd 2.72-2.88
Pr  0.0000  0.1743  0.3257  3 Pd 2.72-2.88
Pr  0.0000  0.8257  0.6743  3 Pd 2.72-2.88
Cd  0.0000  0.0000  0.0000  8 Pt 2.94
Cd  0.0000  0.5000  0.5000  8 Pt 2.94
Pd  0.0000  0.1238  0.6238  6 Pt 2.70-2.74, 3 Pr 2.72-2.88
Pd  0.0000  0.8762  0.3762  6 Pt 2.70-2.74, 3 Pr 2.72-2.88
Pd  0.0000  0.6238  0.8762  6 Pt 2.70-2.74, 3 Pr 2.72-2.88
Pd  0.0000  0.3762  0.1238  6 Pt 2.70-2.74, 3 Pr 2.72-2.88
Pt  0.5000  0.2051  0.0603  2 Pd 2.74, 3 Pt 2.87-2.88, 2 Cd 2.94
Pt  0.5000  0.7949  0.9397  2 Pd 2.74, 3 Pt 2.87-2.88, 2 Cd 2.94
Pt  0.5000  0.0603  0.7949  2 Pd 2.74, 3 Pt 2.87-2.88, 2 Cd 2.94
Pt  0.5000  0.7051  0.4397  2 Pd 2.74, 3 Pt 2.87-2.88, 2 Cd 2.94
Pt  0.5000  0.9397  0.2051  2 Pd 2.74, 3 Pt 2.87-2.88, 2 Cd 2.94
Pt  0.5000  0.2949  0.5603  2 Pd 2.74, 3 Pt 2.87-2.88, 2 Cd 2.94
Pt  0.5000  0.5603  0.7051  2 Pd 2.74, 3 Pt 2.87-2.88, 2 Cd 2.94
Pt  0.5000  0.4397  0.2949  2 Pd 2.74, 3 Pt 2.87-2.88, 2 Cd 2.94
Pt  0.5000  0.5000  0.0000  4 Pd 2.70, 4 Pt 2.87
Pt  0.5000  0.0000  0.5000  4 Pd 2.70, 4 Pt 2.87

Properties
**Raw total energy**: -5.81 eV per atom
**Formation energy from the elements**: -0.71 eV per atom
**Symmetry**: No. 127
**Fermi-level density of states**: 0.641 states/eV per atom
**Total magnetization**: 0.0 μB per formula unit

---

Entry 4:
The following is a PBE calculation of crystalline ReSiCl at its relaxed geometry, from the Alexandria database.

Cell lengths 4.2482, 4.2482, 4.2482 Å; angles 60.00, 60.00, 60.00 degrees
Closest atoms and distances in Å follow each position.
Sites, in units of the cell vectors:
Cl  0.5000  0.5000  0.5000  4 Re 2.60
Re  0.7500  0.7500  0.7500  4 Cl 2.60, 4 Si 2.60
Si  0.0000  0.0000  0.0000  4 Re 2.60

Properties
**Raw total energy**: -5.73 eV per atom
**Excess energy over the best structure of this formula in the dataset**: 0.5257 eV per atom
**Symmetry**: No. 216
**Fermi-level density of states**: 1.109 states/eV per atom
**Total magnetization**: 1.6 μB per formula unit

---

Entry 5:
The following is a PBE calculation of crystalline CsTaS2Cl at its relaxed geometry, from the Alexandria database.

Cell lengths 5.3743, 5.3743, 5.8710 Å; angles 90.00, 90.00, 90.00 degrees
Closest atoms and distances in Å follow each position.
Sites, in units of the cell vectors:
Cs  0.0000  0.0000  0.0000  4 S 2.69, 2 Cl 2.94
S  0.0000  0.5000  0.0000  2 Cs 2.69
S  0.5000  0.0000  0.0000  2 Cs 2.69
Cl  0.0000  0.0000  0.5000  2 Cs 2.94
Ta  0.5000  0.5000  0.5000  4 Cl 3.80, 8 S 3.98

Properties
**Raw total energy**: -2.91 eV per atom
**Excess energy over the best structure of this formula in the dataset**: 2.7128 eV per atom
**Symmetry**: No. 123
**Fermi-level density of states**: 1.224 states/eV per atom
**Total magnetization**: 3.0 μB per formula unit

---

Entry 6:
The following is a PBE calculation of crystalline LuThCoAu at its relaxed geometry, from the Alexandria database.

Cell lengths 4.9910, 4.9910, 4.9910 Å; angles 60.00, 60.00, 60.00 degrees
Closest atoms and distances in Å follow each position.
Sites, in units of the cell vectors:
Co  0.5000  0.5000  0.5000  4 Lu 3.06, 4 Th 3.06
Lu  0.2500  0.2500  0.2500  4 Co 3.06, 4 Au 3.06
Au  0.0000  0.0000  0.0000  4 Th 3.06, 4 Lu 3.06
Th  0.7500  0.7500  0.7500  4 Au 3.06, 4 Co 3.06

Properties
**Raw total energy**: -5.96 eV per atom
**Formation energy from the elements**: -0.38 eV per atom
**Symmetry**: No. 216
**Fermi-level density of states**: 0.730 states/eV per atom
**Total magnetization**: 0.0 μB per formula unit

---

Entry 7:
The following is a PBE calculation of crystalline LiCeTcSn at its relaxed geometry, from the Alexandria database.

Cell lengths 4.7793, 4.7793, 4.7793 Å; angles 60.00, 60.00, 60.00 degrees
Closest atoms and distances in Å follow each position.
Sites, in units of the cell vectors:
Li  0.7500  0.7500  0.7500  4 Ce 2.93, 4 Sn 2.93
Sn  0.0000  0.0000  0.0000  4 Li 2.93, 4 Tc 2.93
Ce  0.5000  0.5000  0.5000  4 Tc 2.93, 4 Li 2.93
Tc  0.2500  0.2500  0.2500  4 Sn 2.93, 4 Ce 2.93

Properties
**Raw total energy**: -5.76 eV per atom
**Formation energy from the elements**: -0.20 eV per atom
**Symmetry**: No. 216
**Fermi-level density of states**: 1.186 states/eV per atom
**Total magnetization**: 0.0 μB per formula unit

---

Entry 8:
The following is a PBE calculation of crystalline Sr3In3N5 at its relaxed geometry, from the Alexandria database.

Cell lengths 6.5356, 7.5403, 9.2028 Å; angles 106.26, 107.58, 95.20 degrees
Closest atoms and distances in Å follow each position.
Sites, in units of the cell vectors:
Sr  0.8061  0.4210  0.6006  4 N 2.54-2.71
Sr  0.1939  0.5790  0.3994  4 N 2.54-2.71
Sr  0.6717  0.8667  0.8874  3 N 2.49-2.71
Sr  0.3283  0.1333  0.1126  3 N 2.49-2.71
Sr  0.6529  0.6316  0.1924  3 N 2.61-2.88
Sr  0.3471  0.3684  0.8076  3 N 2.61-2.88
In  0.8992  0.3088  0.9649  4 N 2.15-2.28
In  0.1008  0.6912  0.0351  4 N 2.15-2.28
In  0.7242  0.9482  0.5617  4 N 2.19-2.27
In  0.2758  0.0518  0.4383  4 N 2.19-2.27
In  0.1514  0.8548  0.7193  4 N 2.16-2.25
In  0.8486  0.1452  0.2807  4 N 2.16-2.25
N  0.9892  0.0917  0.7958  3 In 2.18-2.22
N  0.0108  0.9083  0.2042  3 In 2.18-2.22
N  0.8632  0.6946  0.4979  2 In 2.20-2.25
N  0.1368  0.3054  0.5021  2 In 2.20-2.25
N  0.7552  0.5305  0.8768  2 In 2.22-2.28
N  0.2448  0.4695  0.1232  2 In 2.22-2.28
N  0.4083  0.9096  0.6137  3 In 2.19-2.27
N  0.5917  0.0904  0.3863  3 In 2.19-2.27
N  0.3186  0.7597  0.9166  2 In 2.15-2.16
N  0.6814  0.2403  0.0834  2 In 2.15-2.16

Properties
**Raw total energy**: -5.24 eV per atom
**Symmetry**: No. 2
**Total magnetization**: 0.0 μB per formula unit

---

Entry 9:
The following is a PBE calculation of crystalline Pr2Pd13 at its relaxed geometry, from the Alexandria database.

Cell lengths 7.4285, 7.4285, 8.0213 Å; angles 62.42, 62.42, 60.00 degrees
Closest atoms and distances in Å follow each position.
Sites, in units of the cell vectors:
Pr  0.2556  0.2556  0.2331  6 Pd 2.74-2.95
Pr  0.7444  0.7444  0.7669  6 Pd 2.74-2.95
Pd  0.5000  0.5000  0.5000  12 Pd 2.69-2.77
Pd  0.4848  0.8520  0.1784  6 Pd 2.67-2.78, 1 Pr 2.74
Pd  0.4848  0.4848  0.1784  6 Pd 2.67-2.78, 1 Pr 2.74
Pd  0.8520  0.4848  0.1784  6 Pd 2.67-2.78, 1 Pr 2.74
Pd  0.1480  0.5152  0.8216  6 Pd 2.67-2.78, 1 Pr 2.74
Pd  0.5152  0.1480  0.8216  6 Pd 2.67-2.78, 1 Pr 2.74
Pd  0.5152  0.5152  0.8216  6 Pd 2.67-2.78, 1 Pr 2.74
Pd  0.2583  0.8847  0.5987  8 Pd 2.77-3.06, 1 Pr 2.95
Pd  0.2583  0.2583  0.5987  8 Pd 2.77-3.06, 1 Pr 2.95
Pd  0.8847  0.2583  0.5987  8 Pd 2.77-3.06, 1 Pr 2.95
Pd  0.1153  0.7417  0.4013  8 Pd 2.77-3.06, 1 Pr 2.95
Pd  0.7417  0.1153  0.4013  8 Pd 2.77-3.06, 1 Pr 2.95
Pd  0.7417  0.7417  0.4013  8 Pd 2.77-3.06, 1 Pr 2.95

Properties
**Raw total energy**: -5.11 eV per atom
**Formation energy from the elements**: 0.03 eV per atom
**Symmetry**: No. 166
**Fermi-level density of states**: 1.110 states/eV per atom
**Total magnetization**: 0.0 μB per formula unit

---

Entry 10:
The following is a PBE calculation of crystalline AcHoSbPt at its relaxed geometry, from the Alexandria database.

Cell lengths 5.3771, 5.3771, 5.3771 Å; angles 60.00, 60.00, 60.00 degrees
Closest atoms and distances in Å follow each position.
Sites, in units of the cell vectors:
Sb  0.2500  0.2500  0.2500  4 Ac 3.29, 4 Ho 3.29
Ac  0.5000  0.5000  0.5000  4 Pt 3.29, 4 Sb 3.29
Ho  0.0000  0.0000  0.0000  4 Sb 3.29, 4 Pt 3.29
Pt  0.7500  0.7500  0.7500  4 Ac 3.29, 4 Ho 3.29

Properties
**Raw total energy**: -5.52 eV per atom
**Symmetry**: No. 216
**Fermi-level density of states**: 1.111 states/eV per atom
**Total magnetization**: 0.0 μB per formula unit

---

Entry 11:
The following is a PBE calculation of crystalline TbErScPd at its relaxed geometry, from the Alexandria database.

Cell lengths 5.1443, 5.1443, 5.1443 Å; angles 60.00, 60.00, 60.00 degrees
Closest atoms and distances in Å follow each position.
Sites, in units of the cell vectors:
Sc  0.0000  0.0000  0.0000  4 Tb 3.15, 4 Er 3.15
Tb  0.2500  0.2500  0.2500  4 Sc 3.15, 4 Pd 3.15
Pd  0.5000  0.5000  0.5000  4 Er 3.15, 4 Tb 3.15
Er  0.7500  0.7500  0.7500  4 Pd 3.15, 4 Sc 3.15

Properties
**Raw total energy**: -5.37 eV per atom
**Formation energy from the elements**: -0.19 eV per atom
**Symmetry**: No. 216
**Fermi-level density of states**: 1.122 states/eV per atom
**Total magnetization**: 0.0 μB per formula unit

---

Entry 12:
The following is a PBE calculation of crystalline YHo2Pb9 at its relaxed geometry, from the Alexandria database.

Cell lengths 4.8766, 4.8766, 14.6354 Å; angles 90.00, 90.00, 90.00 degrees
Closest atoms and distances in Å follow each position.
Sites, in units of the cell vectors:
Y  0.0000  0.0000  0.0000  12 Pb 3.45-3.46
Ho  0.0000  0.0000  0.3340  12 Pb 3.44-3.45
Ho  0.0000  0.0000  0.6660  12 Pb 3.44-3.45
Pb  0.5000  0.5000  0.0000  4 Y 3.45, 8 Pb 3.46
Pb  0.5000  0.5000  0.3338  8 Pb 3.44, 4 Ho 3.45
Pb  0.5000  0.5000  0.6662  8 Pb 3.44, 4 Ho 3.45
Pb  0.5000  0.0000  0.1676  8 Pb 3.44-3.46, 2 Ho 3.45, 2 Y 3.46
Pb  0.5000  0.0000  0.5000  4 Ho 3.44, 8 Pb 3.44-3.45
Pb  0.5000  0.0000  0.8324  8 Pb 3.44-3.46, 2 Ho 3.45, 2 Y 3.46
Pb  0.0000  0.5000  0.1676  8 Pb 3.44-3.46, 2 Ho 3.45, 2 Y 3.46
Pb  0.0000  0.5000  0.5000  4 Ho 3.44, 8 Pb 3.44-3.45
Pb  0.0000  0.5000  0.8324  8 Pb 3.44-3.46, 2 Ho 3.45, 2 Y 3.46

Properties
**Raw total energy**: -4.35 eV per atom
**Formation energy from the elements**: -0.27 eV per atom
**Symmetry**: No. 123
**Fermi-level density of states**: 0.595 states/eV per atom
**Total magnetization**: 0.0 μB per formula unit

---

Q: Which of these has the lowest raw total energy?
A: CrCo2Mo

---

Q: Which formula does entry 9 have?
A: Pr2Pd13

---

Please write out number 12 again, unchanged.
The following is a PBE calculation of crystalline YHo2Pb9 at its relaxed geometry, from the Alexandria database.

Cell lengths 4.8766, 4.8766, 14.6354 Å; angles 90.00, 90.00, 90.00 degrees
Closest atoms and distances in Å follow each position.
Sites, in units of the cell vectors:
Y  0.0000  0.0000  0.0000  12 Pb 3.45-3.46
Ho  0.0000  0.0000  0.3340  12 Pb 3.44-3.45
Ho  0.0000  0.0000  0.6660  12 Pb 3.44-3.45
Pb  0.5000  0.5000  0.0000  4 Y 3.45, 8 Pb 3.46
Pb  0.5000  0.5000  0.3338  8 Pb 3.44, 4 Ho 3.45
Pb  0.5000  0.5000  0.6662  8 Pb 3.44, 4 Ho 3.45
Pb  0.5000  0.0000  0.1676  8 Pb 3.44-3.46, 2 Ho 3.45, 2 Y 3.46
Pb  0.5000  0.0000  0.5000  4 Ho 3.44, 8 Pb 3.44-3.45
Pb  0.5000  0.0000  0.8324  8 Pb 3.44-3.46, 2 Ho 3.45, 2 Y 3.46
Pb  0.0000  0.5000  0.1676  8 Pb 3.44-3.46, 2 Ho 3.45, 2 Y 3.46
Pb  0.0000  0.5000  0.5000  4 Ho 3.44, 8 Pb 3.44-3.45
Pb  0.0000  0.5000  0.8324  8 Pb 3.44-3.46, 2 Ho 3.45, 2 Y 3.46

Properties
**Raw total energy**: -4.35 eV per atom
**Formation energy from the elements**: -0.27 eV per atom
**Symmetry**: No. 123
**Fermi-level density of states**: 0.595 states/eV per atom
**Total magnetization**: 0.0 μB per formula unit